An optimized crystal structure of Ag2AsS5. Source: Alexandria, functional PBE.

Unit cell a=7.3239 b=5.2562 c=12.5829 alpha=147.05 beta=93.61 gamma=106.44
Closest atoms and distances in Å follow each position.
Positions (direct):
Ag: 0.1391 0.0423 0.1581  5 S 2.51-2.77
Ag: 0.7149 0.2070 0.3653  3 S 2.50-2.55
S: 0.1557 0.9137 0.9063  1 S 2.03
S: 0.7223 0.8942 0.7384  1 As 2.16
S: 0.3349 0.5635 0.0292  1 S 2.03
S: 0.0466 0.1718 0.3851  1 S 2.03
S: 0.9076 0.4122 0.1970  1 S 2.03
As: 0.7559 0.5722 0.7745  1 S 2.16

Values from the calculation:
SG	P1 (1)
crystal system	triclinic
uncorrected formation energy	0.03	eV/atom